# CdPtWBr2, optimized geometry, DFT GGA-PBE
data_CdPtWBr2
_chemical_formula_sum 'Cd1 Pt1 W1 Br2'
_symmetry_space_group_name_H-M 'P 1'
_symmetry_Int_Tables_number 1
_symmetry_space_group_name_Hall 'P 1'
_cell_length_a 5.095
_cell_length_b 5.417
_cell_length_c 5.095
_cell_angle_alpha 90.00
_cell_angle_beta 90.00
_cell_angle_gamma 90.00
loop_
_atom_site_label
_atom_site_type_symbol
_atom_site_fract_x
_atom_site_fract_y
_atom_site_fract_z
_atom_site_occupancy
Br1 Br 0.000 0.000 0.500 1
Br2 Br 0.500 0.000 0.000 1
W1 W 0.500 0.500 0.500 1
Pt1 Pt 0.000 0.000 0.000 1
Cd1 Cd 0.000 0.500 0.000 1
# V = 140.6 Å³/f.u.
# Raw formation energy = 1311 meV/atom
# Spin magnetization = 4.90 Bohr magnetons per cell
# Crystal system = tetragonal
# DOS at the Fermi energy = 4.7 states/eV per cell